Density functional theory data (PBE) for a relaxed CaSc2Cd2In2 crystal.

The structure belongs to space group R-3m (No. 166, hexagonal axes); the cell edges are 4.8717, 4.8717 and 26.3625 Å and the angles 90.00°, 90.00° and 120.00°. Symmetry generates all atoms from Ca at (0.0000, 0.0000, 0.0000), Sc at (0.0000, 0.0000, 0.1367), Cd at (0.0000, 0.0000, 0.4373) and In at (0.0000, 0.0000, 0.2573).

For the calculated volume, the calculation gives 25.80 Å³/atom. As for the total energy: -3.3834 eV/atom. As for the formation energy: -1.71 eV per formula unit. The density of states at the Fermi level is 11.901 states/eV/cell.